#a
A plane-wave DFT calculation with PBE was carried out for a relaxed TbPm2Ga6 crystal.

```
TbPm2Ga6
1.0
7.355 0.000 0.000
-3.677 6.369 0.000
0.000 0.000 4.223
Tb Pm Ga
1 2 6
direct
0.000 0.000 0.000
0.333 0.667 0.000
0.667 0.333 0.000
0.000 0.332 0.500
0.000 0.668 0.500
0.332 0.000 0.500
0.332 0.332 0.500
0.668 0.000 0.500
0.668 0.668 0.500
```

Volume in Å³ per atom: 21.982
Magnetization in μB per cell: 0.00

=====

#b
A plane-wave DFT calculation with PBE was carried out for a relaxed TbPm2Ga6 crystal.

```
TbPm2Ga6
1.0
-2.189 3.551 6.763
2.189 -3.551 6.763
2.189 3.551 -6.763
Tb Pm Ga
1 2 6
direct
0.000 0.000 0.000
0.371 0.871 0.500
0.629 0.129 0.500
0.010 0.321 0.689
0.310 0.500 0.810
0.368 0.679 0.689
0.632 0.321 0.311
0.690 0.500 0.190
0.990 0.679 0.311
```

Volume in Å³ per atom: 23.368
Magnetization in μB per cell: 0.00

=====

The calculated energies rank the structures as follows, beginning with the most stable: #a, #b.

=====

#a
A plane-wave DFT calculation with PBE was carried out for a relaxed TbPm2Ga2 crystal.

```
TbPm2Ga2
1.0
7.729 0.000 0.000
0.000 7.729 0.000
0.000 0.000 4.505
Tb Pm Ga
2 4 4
direct
0.000 0.000 0.000
0.500 0.500 0.000
0.174 0.326 0.500
0.326 0.826 0.500
0.674 0.174 0.500
0.826 0.674 0.500
0.119 0.619 0.000
0.381 0.119 0.000
0.619 0.881 0.000
0.881 0.381 0.000
```

Volume in Å³ per atom: 26.906
Magnetization in μB per cell: 0.00

=====

#b
A plane-wave DFT calculation with PBE was carried out for a relaxed TbPm2Ga2 crystal.

```
TbPm2Ga2
1.0
5.939 0.000 0.000
0.000 3.988 0.000
-0.506 0.000 12.006
Tb Pm Ga
2 4 4
direct
0.102 0.250 0.293
0.898 0.750 0.707
0.235 0.250 0.935
0.398 0.250 0.633
0.602 0.750 0.367
0.765 0.750 0.065
0.140 0.750 0.484
0.269 0.750 0.134
0.731 0.250 0.866
0.860 0.250 0.516
```

Volume in Å³ per atom: 28.434
Magnetization in μB per cell: 0.00

=====

The calculated energies rank the structures as follows, beginning with the most stable: #a, #b.

=====

#a
A plane-wave DFT calculation with PBE was carried out for a relaxed Tb2PmGa2 crystal.

```
Tb2PmGa2
1.0
7.708 0.000 0.000
0.000 7.708 0.000
0.000 0.000 4.398
Tb Pm Ga
4 2 4
direct
0.174 0.326 0.000
0.326 0.826 0.000
0.674 0.174 0.000
0.826 0.674 0.000
0.000 0.000 0.500
0.500 0.500 0.500
0.118 0.618 0.500
0.382 0.118 0.500
0.618 0.882 0.500
0.882 0.382 0.500
```

Volume in Å³ per atom: 26.132
Magnetization in μB per cell: 0.00

=====

#b
A plane-wave DFT calculation with PBE was carried out for a relaxed Tb2PmGa2 crystal.

```
Tb2PmGa2
1.0
6.276 -1.885 0.000
6.276 1.885 0.000
-1.310 0.000 5.739
Tb Pm Ga
2 1 2
direct
0.138 0.138 0.069
0.862 0.862 0.931
0.500 0.500 0.500
0.206 0.206 0.611
0.794 0.794 0.389
```

Volume in Å³ per atom: 27.163
Magnetization in μB per cell: 0.00

=====

The calculated energies rank the structures as follows, beginning with the most stable: #a, #b.